Record 1
EuHfIrPd: relaxed, PBE.

Computed properties:
The formation enthalpy at 0 K is -522 meV/atom. The crystal system is cubic.

a = 6.811 Å, b = 6.811 Å, c = 6.811 Å
α = 90.00°, β = 90.00°, γ = 90.00°
Space group F-43m (No. 216)
Symmetry-distinct sites (fractional):
Eu  0.000  0.000  0.000 x4
Hf  0.000  0.000  0.500 x4
Ir  0.250  0.250  0.250 x4
Pd  0.250  0.250  0.750 x4

***

Record 2
DyThMgAl: relaxed, PBE.

Computed properties:
The formation enthalpy at 0 K is -160 meV/atom. The crystal system is cubic.

a = 7.451 Å, b = 7.451 Å, c = 7.451 Å
α = 90.00°, β = 90.00°, γ = 90.00°
Space group F-43m (No. 216)
Symmetry-distinct sites (fractional):
Dy  0.000  0.000  0.000 x4
Th  0.000  0.000  0.500 x4
Mg  0.250  0.250  0.250 x4
Al  0.250  0.250  0.750 x4

***

Record 3
TaTl2As2: relaxed, PBE.

Computed properties:
The formation enthalpy at 0 K is 245 meV/atom. The crystal system is tetragonal.

a = 6.800 Å, b = 6.800 Å, c = 5.179 Å
α = 90.00°, β = 90.00°, γ = 90.00°
Space group P4/mbm (No. 127)
Symmetry-distinct sites (fractional):
Ta  0.000  0.000  0.000 x2
Tl  0.179  0.321  0.500 x4
As  0.145  0.645  0.000 x4

***

Record 4
YIr2RuF: relaxed, PBE.

Computed properties:
For the total energy, the calculation gives -33.92 eV for the cell shown. The crystal system is tetragonal.

a = 4.376 Å, b = 4.376 Å, c = 4.312 Å
α = 90.00°, β = 90.00°, γ = 90.00°
Space group P4/mmm (No. 123)
Symmetry-distinct sites (fractional):
Y  0.000  0.000  0.000 x1
Ir  0.000  0.500  0.500 x2
Ru  0.500  0.500  0.000 x1
F  0.000  0.000  0.500 x1

***

Record 5
Ti3Ga12Pt5: relaxed, PBE.

Computed properties:
The formation enthalpy at 0 K is -49 meV/atom. The crystal system is cubic.

a = 14.916 Å, b = 14.916 Å, c = 14.916 Å
α = 90.00°, β = 90.00°, γ = 90.00°
Space group Ia-3d (No. 230)
Symmetry-distinct sites (fractional):
Ti  0.000  0.250  0.125 x24
Ga  0.023  0.077  0.649 x96
Pt  0.000  0.000  0.000 x16
Pt  0.000  0.250  0.375 x24

***

Record 6
PmZn5CdAu2: relaxed, PBE.

Computed properties:
The formation enthalpy at 0 K is -69 meV/atom. The crystal system is tetragonal.

a = 4.909 Å, b = 4.909 Å, c = 7.659 Å
α = 90.00°, β = 90.00°, γ = 90.00°
Space group P4/mmm (No. 123)
Symmetry-distinct sites (fractional):
Pm  0.000  0.000  0.000 x1
Zn  0.000  0.500  0.252 x4
Zn  0.500  0.500  0.000 x1
Cd  0.000  0.000  0.500 x1
Au  0.500  0.500  0.326 x2

***

Record 7
Hf2TcSb4: relaxed, PBE.

Computed properties:
For the total energy, the calculation gives -96.31 eV for the cell shown. The crystal system is monoclinic.

a = 14.082 Å, b = 4.076 Å, c = 6.888 Å
α = 90.00°, β = 119.21°, γ = 90.00°
Space group C2/m (No. 12)
Symmetry-distinct sites (fractional):
Hf  0.242  0.000  0.249 x4
Tc  0.000  0.000  0.000 x2
Sb  0.105  0.500  0.924 x4
Sb  0.106  0.000  0.456 x4

***

Record 8
SmHo7Er12: relaxed, PBE.

Computed properties:
The energy relative to the lowest polymorph listed for this composition is 0.000 eV per atom. The formation enthalpy at 0 K is 310 meV/atom. The crystal system is trigonal.

a = 12.7062 Å, b = 12.7062 Å, c = 13.4954 Å
α = 90.00°, β = 90.00°, γ = 120.00°
Space group R-3 (No. 148, hexagonal axes)
Symmetry-distinct sites (fractional):
Sm  0.0000  0.0000  0.0000 x3
Ho  0.0000  0.0000  0.5000 x3
Ho  0.0684  0.8665  0.8510 x18
Er  0.0036  0.4372  0.2470 x18
Er  0.0684  0.1992  0.3451 x18

***

Record 9
Cs2KHgBi: relaxed, PBE.

Computed properties:
The energy relative to the lowest polymorph listed for this composition is 0.028 eV per atom. The formation enthalpy at 0 K is -145 meV/atom. The crystal system is tetragonal.

a = 7.297 Å, b = 7.297 Å, c = 5.845 Å
α = 90.00°, β = 90.00°, γ = 90.00°
Space group P4/mmm (No. 123)
Symmetry-distinct sites (fractional):
Cs  0.000  0.500  0.000 x2
K  0.000  0.000  0.500 x1
Hg  0.500  0.500  0.000 x1
Bi  0.500  0.500  0.500 x1

***

Record 10
DyThZnRh: relaxed, PBE.

Computed properties:
The formation enthalpy at 0 K is -497 meV/atom. The crystal system is cubic.

a = 7.128 Å, b = 7.128 Å, c = 7.128 Å
α = 90.00°, β = 90.00°, γ = 90.00°
Space group F-43m (No. 216)
Symmetry-distinct sites (fractional):
Dy  0.000  0.000  0.000 x4
Th  0.000  0.000  0.500 x4
Zn  0.250  0.250  0.250 x4
Rh  0.250  0.250  0.750 x4

***

Record 11
HfTh2Hg: relaxed, PBE.

Computed properties:
The energy relative to the lowest polymorph listed for this composition is 0.047 eV per atom. The formation enthalpy at 0 K is 28 meV/atom. The crystal system is tetragonal.

a = 4.765 Å, b = 4.765 Å, c = 4.764 Å
α = 90.00°, β = 90.00°, γ = 90.00°
Space group P4/mmm (No. 123)
Symmetry-distinct sites (fractional):
Hf  0.000  0.000  0.000 x1
Th  0.000  0.500  0.500 x2
Hg  0.500  0.500  0.000 x1

***

Record 12
HgBRuN: relaxed, PBE.

Computed properties:
The energy relative to the lowest polymorph listed for this composition is 0.000 eV per atom. The crystal system is triclinic.

a = 2.723 Å, b = 2.723 Å, c = 8.867 Å
α = 81.90°, β = 81.29°, γ = 60.00°
Space group P1 (No. 1)
Symmetry-distinct sites (fractional):
Hg  0.000  0.000  0.000 x1
B  0.517  0.479  0.481 x1
Ru  0.771  0.750  0.705 x1
N  0.856  0.817  0.463 x1

***

Copy entry 2 word for word.
DyThMgAl: relaxed, PBE.

Computed properties:
The formation enthalpy at 0 K is -160 meV/atom. The crystal system is cubic.

a = 7.451 Å, b = 7.451 Å, c = 7.451 Å
α = 90.00°, β = 90.00°, γ = 90.00°
Space group F-43m (No. 216)
Symmetry-distinct sites (fractional):
Dy  0.000  0.000  0.000 x4
Th  0.000  0.000  0.500 x4
Mg  0.250  0.250  0.250 x4
Al  0.250  0.250  0.750 x4

***

What did the second record say?
DyThMgAl: relaxed, PBE.

Computed properties:
The formation enthalpy at 0 K is -160 meV/atom. The crystal system is cubic.

a = 7.451 Å, b = 7.451 Å, c = 7.451 Å
α = 90.00°, β = 90.00°, γ = 90.00°
Space group F-43m (No. 216)
Symmetry-distinct sites (fractional):
Dy  0.000  0.000  0.000 x4
Th  0.000  0.000  0.500 x4
Mg  0.250  0.250  0.250 x4
Al  0.250  0.250  0.750 x4